DFT (GGA-PBE) results for NaBi2Pd8 after structural relaxation. Values from VASP.

The structure in Quantum ESPRESSO input format:
```
&SYSTEM
  ibrav = 0, nat = 11, ntyp = 3
/
ATOMIC_SPECIES
Pd 106.42 Pd.upf
Bi 208.98 Bi.upf
Na 22.99 Na.upf
ATOMIC_POSITIONS crystal
Pd 0.685 0.425 0.425
Pd 0.868 0.903 0.675
Pd 0.132 0.097 0.325
Pd 0.500 0.218 0.782
Pd 0.500 0.782 0.218
Bi 0.000 0.690 0.310
Pd 0.132 0.325 0.097
Pd 0.868 0.675 0.903
Bi 0.000 0.310 0.690
Pd 0.315 0.575 0.575
Na 0.500 0.000 0.000
CELL_PARAMETERS angstrom
-3.441 3.479 -1.261
1.609 -3.790 -6.223
-2.771 -3.756 5.822
```

Computed properties:
formation energy	-0.08	eV/atom
theoretical density	10.5	g cm⁻³
crystal system	monoclinic
D(E_F)	6.4	states/eV/f.u.
space group	No. 12


DFT (GGA-PBE) results for NaBiPd3 after structural relaxation. Values from VASP.

The structure in Quantum ESPRESSO input format:
```
&SYSTEM
  ibrav = 0, nat = 10, ntyp = 3
/
ATOMIC_SPECIES
Pd 106.42 Pd.upf
Bi 208.98 Bi.upf
Na 22.99 Na.upf
ATOMIC_POSITIONS crystal
Pd 0.819 0.319 0.137
Pd 0.181 0.681 0.863
Bi 0.500 0.000 0.000
Pd 0.319 0.319 0.137
Na 0.250 0.253 0.500
Pd 0.681 0.681 0.863
Pd 0.750 0.044 0.500
Pd 0.250 0.956 0.500
Na 0.750 0.747 0.500
Bi 0.000 0.500 0.000
CELL_PARAMETERS angstrom
4.891 0.000 -2.704
-2.586 7.835 -4.677
0.376 -1.763 6.455
```

Computed properties:
energy above the most stable polymorph in this dataset	0.036	eV per atom
formation energy	-0.18	eV/atom
theoretical density	9.0	g cm⁻³
crystal system	orthorhombic
D(E_F)	3.2	states/eV/f.u.
space group	No. 74


DFT (GGA-PBE) results for NaBi2Pd2 after structural relaxation. Values from VASP.

The structure in Quantum ESPRESSO input format:
```
&SYSTEM
  ibrav = 0, nat = 10, ntyp = 3
/
ATOMIC_SPECIES
Na 22.99 Na.upf
Bi 208.98 Bi.upf
Pd 106.42 Pd.upf
ATOMIC_POSITIONS crystal
Na 0.000 0.500 0.000
Bi 0.500 0.750 0.191
Na 0.000 0.000 0.000
Pd 0.500 0.500 0.500
Pd 0.500 0.000 0.500
Bi 0.000 0.750 0.610
Pd 0.500 0.250 0.182
Bi 0.000 0.250 0.390
Pd 0.500 0.750 0.818
Bi 0.500 0.250 0.809
CELL_PARAMETERS angstrom
-2.165 4.126 -1.110
-5.408 -2.714 0.460
-0.302 1.895 7.634
```

Computed properties:
energy above the most stable polymorph in this dataset	0.067	eV per atom
formation energy	-0.24	eV/atom
theoretical density	9.5	g cm⁻³
crystal system	orthorhombic
D(E_F)	1.6	states/eV/f.u.
space group	No. 51


DFT (GGA-PBE) results for NaBi8Pd4 after structural relaxation. Values from VASP.

The structure in Quantum ESPRESSO input format:
```
&SYSTEM
  ibrav = 0, nat = 13, ntyp = 3
/
ATOMIC_SPECIES
Bi 208.98 Bi.upf
Na 22.99 Na.upf
Pd 106.42 Pd.upf
ATOMIC_POSITIONS crystal
Bi 0.738 0.237 0.788
Bi 0.262 0.763 0.212
Bi 0.261 0.261 0.216
Na 0.500 0.500 0.500
Pd 0.000 0.000 0.000
Bi 0.237 0.738 0.788
Pd 0.500 0.000 0.000
Bi 0.739 0.739 0.784
Bi 0.237 0.237 0.788
Pd 0.000 0.500 0.000
Bi 0.763 0.262 0.212
Pd 0.500 0.500 0.000
Bi 0.763 0.763 0.212
CELL_PARAMETERS angstrom
7.029 0.000 0.000
3.514 6.087 0.000
3.514 2.029 9.420
```

Computed properties:
formation energy	-0.14	eV/atom
theoretical density	8.7	g cm⁻³
crystal system	trigonal
D(E_F)	3.3	states/eV/f.u.
space group	No. 166


DFT (GGA-PBE) results for Na6Bi2Pd after structural relaxation. Values from VASP.

The structure in Quantum ESPRESSO input format:
```
&SYSTEM
  ibrav = 0, nat = 9, ntyp = 3
/
ATOMIC_SPECIES
Na 22.99 Na.upf
Bi 208.98 Bi.upf
Pd 106.42 Pd.upf
ATOMIC_POSITIONS crystal
Na 0.303 0.303 0.090
Na 0.582 0.582 0.255
Na 0.697 0.697 0.910
Na 0.805 0.805 0.585
Bi 0.911 0.911 0.267
Bi 0.089 0.089 0.733
Na 0.195 0.195 0.415
Na 0.418 0.418 0.745
Pd 0.000 0.000 0.000
CELL_PARAMETERS angstrom
-2.972 1.512 4.267
2.056 -0.364 4.997
3.349 9.862 2.275
```

Computed properties:
formation energy	-0.33	eV/atom
theoretical density	4.2	g cm⁻³
crystal system	trigonal
D(E_F)	1.2	states/eV/f.u.
space group	No. 166


DFT (GGA-PBE) results for Na2Bi5Pd4 after structural relaxation. Values from VASP.

The structure in Quantum ESPRESSO input format:
```
&SYSTEM
  ibrav = 0, nat = 11, ntyp = 3
/
ATOMIC_SPECIES
Bi 208.98 Bi.upf
Pd 106.42 Pd.upf
Na 22.99 Na.upf
ATOMIC_POSITIONS crystal
Bi 0.763 0.181 0.802
Pd 0.736 0.521 0.006
Na 0.695 0.268 0.341
Bi 0.254 0.181 0.802
Bi 0.746 0.819 0.198
Bi 0.000 0.500 0.500
Pd 0.313 0.142 0.231
Na 0.305 0.732 0.659
Bi 0.237 0.819 0.198
Pd 0.687 0.858 0.769
Pd 0.264 0.479 0.994
CELL_PARAMETERS angstrom
6.594 0.000 0.000
3.297 7.290 -1.832
3.297 0.070 5.615
```

Computed properties:
formation energy	-0.21	eV/atom
theoretical density	9.3	g cm⁻³
crystal system	monoclinic
D(E_F)	4.4	states/eV/f.u.
space group	No. 12


DFT (GGA-PBE) results for NaBi2Pd after structural relaxation. Values from VASP.

The structure in Quantum ESPRESSO input format:
```
&SYSTEM
  ibrav = 0, nat = 8, ntyp = 3
/
ATOMIC_SPECIES
Bi 208.98 Bi.upf
Pd 106.42 Pd.upf
Na 22.99 Na.upf
ATOMIC_POSITIONS crystal
Bi 0.643 0.285 0.457
Pd 0.787 0.574 0.750
Bi 0.357 0.715 0.543
Pd 0.213 0.426 0.250
Na 0.937 0.875 0.250
Bi 0.643 0.285 0.043
Bi 0.357 0.715 0.957
Na 0.063 0.125 0.750
CELL_PARAMETERS angstrom
4.369 0.000 0.000
-2.185 5.802 0.000
0.000 0.000 8.246
```

Computed properties:
energy above the most stable polymorph in this dataset	0.000	eV per atom
formation energy	-0.31	eV/atom
theoretical density	8.7	g cm⁻³
crystal system	orthorhombic
D(E_F)	1.2	states/eV/f.u.
space group	No. 63


DFT (GGA-PBE) results for NaBiPd4 after structural relaxation. Values from VASP.

The structure in Quantum ESPRESSO input format:
```
&SYSTEM
  ibrav = 0, nat = 6, ntyp = 3
/
ATOMIC_SPECIES
Pd 106.42 Pd.upf
Na 22.99 Na.upf
Bi 208.98 Bi.upf
ATOMIC_POSITIONS crystal
Pd 0.625 0.625 0.125
Na 0.000 0.000 0.000
Bi 0.250 0.250 0.250
Pd 0.625 0.125 0.625
Pd 0.625 0.625 0.625
Pd 0.125 0.625 0.625
CELL_PARAMETERS angstrom
-4.292 -0.202 -3.292
0.709 -0.237 -5.361
-1.142 -4.561 -2.682
```

Computed properties:
energy above the most stable polymorph in this dataset	0.000	eV per atom
formation energy	-0.18	eV/atom
theoretical density	9.7	g cm⁻³
crystal system	cubic
D(E_F)	1.1	states/eV/f.u.
space group	No. 216


DFT (GGA-PBE) results for NaBi8Pd6 after structural relaxation. Values from VASP.

The structure in Quantum ESPRESSO input format:
```
&SYSTEM
  ibrav = 0, nat = 15, ntyp = 3
/
ATOMIC_SPECIES
Na 22.99 Na.upf
Bi 208.98 Bi.upf
Pd 106.42 Pd.upf
ATOMIC_POSITIONS crystal
Na 0.000 0.000 0.000
Bi 0.888 0.577 0.324
Bi 0.212 0.888 0.324
Bi 0.423 0.788 0.676
Bi 0.577 0.212 0.324
Pd 0.715 0.413 0.812
Bi 0.668 0.668 0.996
Bi 0.332 0.332 0.004
Pd 0.413 0.060 0.812
Pd 0.587 0.940 0.188
Pd 0.940 0.285 0.188
Pd 0.060 0.715 0.812
Bi 0.788 0.112 0.676
Bi 0.112 0.423 0.676
Pd 0.285 0.587 0.188
CELL_PARAMETERS angstrom
8.452 0.000 0.000
4.226 7.320 0.000
4.226 2.440 5.990
```

Computed properties:
formation energy	-0.23	eV/atom
theoretical density	10.5	g cm⁻³
crystal system	trigonal
D(E_F)	8.6	states/eV/f.u.
space group	No. 148


DFT (GGA-PBE) results for NaBi2Pd after structural relaxation. Values from VASP.

The structure in Quantum ESPRESSO input format:
```
&SYSTEM
  ibrav = 0, nat = 8, ntyp = 3
/
ATOMIC_SPECIES
Pd 106.42 Pd.upf
Na 22.99 Na.upf
Bi 208.98 Bi.upf
ATOMIC_POSITIONS crystal
Pd 0.000 0.000 0.000
Na 0.250 0.750 0.500
Bi 0.707 0.125 0.250
Bi 0.375 0.293 0.750
Bi 0.875 0.957 0.750
Pd 0.750 0.250 0.500
Na 0.500 0.500 0.000
Bi 0.043 0.625 0.250
CELL_PARAMETERS angstrom
-0.574 6.198 6.215
1.158 -6.121 6.211
3.216 0.450 6.073
```

Computed properties:
energy above the most stable polymorph in this dataset	0.131	eV per atom
formation energy	-0.18	eV/atom
theoretical density	7.9	g cm⁻³
crystal system	tetragonal
D(E_F)	1.9	states/eV/f.u.
space group	No. 122


DFT (GGA-PBE) results for NaBi2Pd6 after structural relaxation. Values from VASP.

The structure in Quantum ESPRESSO input format:
```
&SYSTEM
  ibrav = 0, nat = 9, ntyp = 3
/
ATOMIC_SPECIES
Bi 208.98 Bi.upf
Pd 106.42 Pd.upf
Na 22.99 Na.upf
ATOMIC_POSITIONS crystal
Bi 0.333 0.667 0.728
Pd 0.667 0.333 0.626
Bi 0.667 0.333 0.272
Pd 0.333 0.667 0.374
Pd 0.667 0.333 0.955
Pd 0.000 0.000 0.161
Pd 0.333 0.667 0.045
Na 0.000 0.000 0.500
Pd 0.000 0.000 0.839
CELL_PARAMETERS angstrom
4.679 0.000 0.000
-2.339 4.052 0.006
0.000 -0.013 8.624
```

Computed properties:
energy above the most stable polymorph in this dataset	0.000	eV per atom
formation energy	-0.23	eV/atom
theoretical density	11.0	g cm⁻³
crystal system	trigonal
D(E_F)	4.0	states/eV/f.u.
space group	No. 164


DFT (GGA-PBE) results for Na2Bi2Pd3 after structural relaxation. Values from VASP.

The structure in Quantum ESPRESSO input format:
```
&SYSTEM
  ibrav = 0, nat = 7, ntyp = 3
/
ATOMIC_SPECIES
Na 22.99 Na.upf
Bi 208.98 Bi.upf
Pd 106.42 Pd.upf
ATOMIC_POSITIONS crystal
Na 0.272 0.136 0.408
Na 0.728 0.864 0.592
Bi 0.801 0.401 0.201
Bi 0.199 0.599 0.799
Pd 0.446 0.723 0.169
Pd 0.000 0.000 0.000
Pd 0.554 0.277 0.831
CELL_PARAMETERS angstrom
-4.556 -1.435 -0.668
3.614 -2.381 -2.111
2.381 -2.778 7.160
```

Computed properties:
energy above the most stable polymorph in this dataset	0.000	eV per atom
formation energy	-0.31	eV/atom
theoretical density	8.6	g cm⁻³
crystal system	monoclinic
D(E_F)	2.1	states/eV/f.u.
space group	No. 12


DFT (GGA-PBE) results for NaBi4Pd2 after structural relaxation. Values from VASP.

The structure in Quantum ESPRESSO input format:
```
&SYSTEM
  ibrav = 0, nat = 14, ntyp = 3
/
ATOMIC_SPECIES
Bi 208.98 Bi.upf
Na 22.99 Na.upf
Pd 106.42 Pd.upf
ATOMIC_POSITIONS crystal
Bi 0.838 0.600 0.125
Bi 0.412 0.150 0.375
Na 0.000 0.000 0.000
Bi 0.775 0.037 0.625
Na 0.250 0.750 0.500
Pd 0.625 0.375 0.250
Pd 0.625 0.875 0.250
Bi 0.963 0.225 0.374
Bi 0.400 0.162 0.875
Bi 0.287 0.525 0.125
Pd 0.125 0.375 0.750
Bi 0.851 0.588 0.625
Pd 0.625 0.375 0.750
Bi 0.475 0.713 0.875
CELL_PARAMETERS angstrom
7.221 -0.396 -0.143
-0.915 7.174 0.134
-3.010 -3.513 7.633
```

Computed properties:
energy above the most stable polymorph in this dataset	0.068	eV per atom
formation energy	-0.21	eV/atom
theoretical density	9.1	g cm⁻³
crystal system	monoclinic
D(E_F)	1.9	states/eV/f.u.
space group	No. 15


DFT (GGA-PBE) results for NaBi2Pd6 after structural relaxation. Values from VASP.

The structure in Quantum ESPRESSO input format:
```
&SYSTEM
  ibrav = 0, nat = 9, ntyp = 3
/
ATOMIC_SPECIES
Bi 208.98 Bi.upf
Pd 106.42 Pd.upf
Na 22.99 Na.upf
ATOMIC_POSITIONS crystal
Bi 0.500 0.500 0.835
Pd 0.000 0.500 0.327
Pd 0.500 0.000 0.327
Pd 0.000 0.500 0.673
Pd 0.000 0.000 0.500
Pd 0.500 0.000 0.673
Na 0.000 0.000 0.000
Bi 0.500 0.500 0.165
Pd 0.500 0.500 0.500
CELL_PARAMETERS angstrom
-2.098 -1.581 -3.085
2.603 -3.100 -0.182
-6.380 -5.785 7.305
```

Computed properties:
energy above the most stable polymorph in this dataset	0.064	eV per atom
formation energy	-0.16	eV/atom
theoretical density	9.7	g cm⁻³
crystal system	tetragonal
D(E_F)	7.7	states/eV/f.u.
space group	No. 123


DFT (GGA-PBE) results for NaBiPd6 after structural relaxation. Values from VASP.

The structure in Quantum ESPRESSO input format:
```
&SYSTEM
  ibrav = 0, nat = 8, ntyp = 3
/
ATOMIC_SPECIES
Pd 106.42 Pd.upf
Bi 208.98 Bi.upf
Na 22.99 Na.upf
ATOMIC_POSITIONS crystal
Pd 0.536 0.162 0.162
Bi 0.500 0.500 0.500
Pd 0.838 0.838 0.464
Pd 0.838 0.464 0.838
Na 0.000 0.000 0.000
Pd 0.464 0.838 0.838
Pd 0.162 0.162 0.536
Pd 0.162 0.536 0.162
CELL_PARAMETERS angstrom
5.383 0.495 0.560
-0.096 5.405 0.560
-0.096 -0.107 5.433
```

Computed properties:
energy above the most stable polymorph in this dataset	0.346	eV per atom
formation energy	0.22	eV/atom
theoretical density	9.1	g cm⁻³
crystal system	trigonal
D(E_F)	3.8	states/eV/f.u.
space group	No. 166


DFT (GGA-PBE) results for NaBi2Pd after structural relaxation. Values from VASP.

The structure in Quantum ESPRESSO input format:
```
&SYSTEM
  ibrav = 0, nat = 4, ntyp = 3
/
ATOMIC_SPECIES
Bi 208.98 Bi.upf
Na 22.99 Na.upf
Pd 106.42 Pd.upf
ATOMIC_POSITIONS crystal
Bi 0.750 0.750 0.750
Bi 0.250 0.250 0.250
Na 0.000 0.000 0.000
Pd 0.500 0.500 0.500
CELL_PARAMETERS angstrom
0.000 3.626 3.626
3.626 0.000 3.626
3.626 3.626 0.000
```

Computed properties:
energy above the most stable polymorph in this dataset	0.098	eV per atom
formation energy	-0.22	eV/atom
theoretical density	9.5	g cm⁻³
crystal system	cubic
D(E_F)	1.0	states/eV/f.u.
space group	No. 225


DFT (GGA-PBE) results for NaBi4Pd2 after structural relaxation. Values from VASP.

The structure in Quantum ESPRESSO input format:
```
&SYSTEM
  ibrav = 0, nat = 7, ntyp = 3
/
ATOMIC_SPECIES
Bi 208.98 Bi.upf
Pd 106.42 Pd.upf
Na 22.99 Na.upf
ATOMIC_POSITIONS crystal
Bi 0.798 0.798 0.605
Pd 0.098 0.098 0.705
Bi 0.396 0.396 0.812
Bi 0.202 0.202 0.395
Bi 0.604 0.604 0.188
Pd 0.902 0.902 0.295
Na 0.000 0.000 0.000
CELL_PARAMETERS angstrom
4.325 0.000 1.400
1.936 3.868 1.400
-1.205 -0.744 11.101
```

Computed properties:
energy above the most stable polymorph in this dataset	0.000	eV per atom
formation energy	-0.28	eV/atom
theoretical density	9.1	g cm⁻³
crystal system	trigonal
D(E_F)	2.0	states/eV/f.u.
space group	No. 166


DFT (GGA-PBE) results for NaBiPd6 after structural relaxation. Values from VASP.

The structure in Quantum ESPRESSO input format:
```
&SYSTEM
  ibrav = 0, nat = 8, ntyp = 3
/
ATOMIC_SPECIES
Pd 106.42 Pd.upf
Bi 208.98 Bi.upf
Na 22.99 Na.upf
ATOMIC_POSITIONS crystal
Pd 0.248 0.248 0.000
Bi 0.000 0.000 0.000
Pd 0.129 0.629 0.500
Pd 0.871 0.371 0.500
Pd 0.371 0.871 0.500
Na 0.500 0.500 0.000
Pd 0.629 0.129 0.500
Pd 0.752 0.752 0.000
CELL_PARAMETERS angstrom
-1.284 -7.827 0.033
-2.720 -5.202 5.334
-0.836 6.976 -3.681
```

Computed properties:
energy above the most stable polymorph in this dataset	0.000	eV per atom
formation energy	-0.12	eV/atom
theoretical density	10.7	g cm⁻³
crystal system	tetragonal
D(E_F)	6.4	states/eV/f.u.
space group	No. 139


DFT (GGA-PBE) results for NaBi2Pd2 after structural relaxation. Values from VASP.

The structure in Quantum ESPRESSO input format:
```
&SYSTEM
  ibrav = 0, nat = 5, ntyp = 3
/
ATOMIC_SPECIES
Na 22.99 Na.upf
Bi 208.98 Bi.upf
Pd 106.42 Pd.upf
ATOMIC_POSITIONS crystal
Na 0.000 0.000 0.000
Bi 0.638 0.638 0.724
Bi 0.362 0.362 0.276
Pd 0.250 0.750 0.500
Pd 0.750 0.250 0.500
CELL_PARAMETERS angstrom
4.837 0.000 0.000
0.000 4.837 0.000
2.419 2.419 5.716
```

Computed properties:
energy above the most stable polymorph in this dataset	0.065	eV per atom
formation energy	-0.24	eV/atom
theoretical density	8.1	g cm⁻³
crystal system	tetragonal
D(E_F)	2.5	states/eV/f.u.
space group	No. 139


DFT (GGA-PBE) results for NaBi2Pd9 after structural relaxation. Values from VASP.

The structure in Quantum ESPRESSO input format:
```
&SYSTEM
  ibrav = 0, nat = 12, ntyp = 3
/
ATOMIC_SPECIES
Pd 106.42 Pd.upf
Bi 208.98 Bi.upf
Na 22.99 Na.upf
ATOMIC_POSITIONS crystal
Pd 0.333 0.333 0.001
Pd 0.585 0.585 0.749
Pd 0.500 0.500 0.500
Pd 0.082 0.585 0.749
Pd 0.918 0.415 0.251
Pd 0.667 0.667 0.999
Bi 0.130 0.130 0.610
Na 0.000 0.000 0.000
Pd 0.585 0.082 0.749
Pd 0.415 0.918 0.251
Pd 0.415 0.415 0.251
Bi 0.870 0.870 0.390
CELL_PARAMETERS angstrom
-1.980 -4.276 -2.579
1.605 -4.941 1.366
-6.859 -3.592 5.627
```

Computed properties:
energy above the most stable polymorph in this dataset	0.106	eV per atom
formation energy	-0.09	eV/atom
theoretical density	10.3	g cm⁻³
crystal system	trigonal
D(E_F)	12.0	states/eV/f.u.
space group	No. 166